Below is crystalline Th2Si4PdRh3 at its relaxed geometry, with properties calculated at the PBE level.

Geometry as POSCAR:
```
Th2Si4PdRh3
1.0
4.196 0.000 0.000
0.000 4.196 0.000
0.000 0.000 9.984
Th Si Pd Rh
2 4 1 3
Direct
0.000 0.500 0.244 Th
0.500 0.000 0.756 Th
0.000 0.000 0.000 Si
0.000 0.500 0.635 Si
0.500 0.000 0.365 Si
0.500 0.500 0.000 Si
0.000 0.000 0.500 Pd
0.000 0.500 0.877 Rh
0.500 0.000 0.123 Rh
0.500 0.500 0.500 Rh
```

Summary:
The density of states at the Fermi level comes out at 0.733 states/eV per atom. The raw formation energy comes out at -1.032 eV/atom. As for the magnetization: 0.00 μB per cell. As for the space group: P-4m2, No. 115.

---

Below is crystalline Th4Si3PdRh12 at its relaxed geometry, with properties calculated at the PBE level.

Geometry as POSCAR:
```
Th4Si3PdRh12
1.0
-4.564 4.564 4.564
4.564 -4.564 4.564
4.564 4.564 -4.564
Th Si Pd Rh
4 3 1 12
Direct
0.000 0.000 0.500 Th
0.000 0.500 0.000 Th
0.500 0.000 0.000 Th
0.500 0.500 0.500 Th
0.000 0.500 0.500 Si
0.500 0.000 0.500 Si
0.500 0.500 0.000 Si
0.000 0.000 0.000 Pd
0.000 0.266 0.266 Rh
0.000 0.734 0.734 Rh
0.250 0.500 0.750 Rh
0.250 0.750 0.500 Rh
0.266 0.000 0.266 Rh
0.266 0.266 0.000 Rh
0.500 0.250 0.750 Rh
0.500 0.750 0.250 Rh
0.734 0.000 0.734 Rh
0.734 0.734 0.000 Rh
0.750 0.250 0.500 Rh
0.750 0.500 0.250 Rh
```

Summary:
The density of states at the Fermi level comes out at 0.222 states/eV per atom. The raw formation energy comes out at -0.496 eV/atom. As for the magnetization: 0.00 μB per cell. As for the space group: Im-3m, No. 229.

---

Below is crystalline ThSi2PdRh at its relaxed geometry, with properties calculated at the PBE level.

Geometry as POSCAR:
```
ThSi2PdRh
1.0
-2.086 2.086 5.061
2.086 -2.086 5.061
2.086 2.086 -5.061
Th Si Pd Rh
1 2 1 1
Direct
0.000 0.000 0.000 Th
0.382 0.382 0.000 Si
0.618 0.618 0.000 Si
0.250 0.750 0.500 Pd
0.750 0.250 0.500 Rh
```

Summary:
The density of states at the Fermi level comes out at 0.745 states/eV per atom. The raw formation energy comes out at -0.981 eV/atom. As for the magnetization: 0.00 μB per cell. As for the space group: I-4m2, No. 119.

---

Below is crystalline TiSiPdRh at its relaxed geometry, with properties calculated at the PBE level.

Geometry as POSCAR:
```
TiSiPdRh
1.0
0.000 3.066 3.066
3.066 0.000 3.066
3.066 3.066 0.000
Ti Si Pd Rh
1 1 1 1
Direct
0.000 0.000 0.000 Ti
0.500 0.500 0.500 Si
0.250 0.250 0.250 Pd
0.750 0.750 0.750 Rh
```

Summary:
The density of states at the Fermi level comes out at 1.044 states/eV per atom. The raw formation energy comes out at -0.669 eV/atom. As for the magnetization: 0.00 μB per cell. As for the space group: F-43m, No. 216.

---

Below is crystalline U2Si4PdRh3 at its relaxed geometry, with properties calculated at the PBE level.

Geometry as POSCAR:
```
U2Si4PdRh3
1.0
4.086 0.000 0.000
0.000 4.086 0.000
0.000 0.000 10.012
U Si Pd Rh
2 4 1 3
Direct
0.000 0.500 0.242 U
0.500 0.000 0.758 U
0.000 0.000 0.000 Si
0.000 0.500 0.637 Si
0.500 0.000 0.363 Si
0.500 0.500 0.000 Si
0.000 0.000 0.500 Pd
0.000 0.500 0.874 Rh
0.500 0.000 0.126 Rh
0.500 0.500 0.500 Rh
```

Summary:
The density of states at the Fermi level comes out at 1.946 states/eV per atom. The raw formation energy comes out at -0.710 eV/atom. As for the magnetization: 3.90 μB per cell. As for the space group: P-4m2, No. 115.

---

Below is crystalline USi2PdRh at its relaxed geometry, with properties calculated at the PBE level.

Geometry as POSCAR:
```
USi2PdRh
1.0
-1.998 1.998 5.187
1.998 -1.998 5.187
1.998 1.998 -5.187
U Si Pd Rh
1 2 1 1
Direct
0.000 0.000 0.000 U
0.388 0.388 0.000 Si
0.612 0.612 0.000 Si
0.250 0.750 0.500 Pd
0.750 0.250 0.500 Rh
```

Summary:
The density of states at the Fermi level comes out at 1.428 states/eV per atom. The raw formation energy comes out at -0.696 eV/atom. As for the magnetization: 2.24 μB per cell. As for the space group: I-4m2, No. 119.

---

Below is crystalline Y2Si2PdRh5 at its relaxed geometry, with properties calculated at the PBE level.

Geometry as POSCAR:
```
Y2Si2PdRh5
1.0
9.721 0.000 0.000
0.000 9.721 0.000
0.000 0.000 3.495
Y Si Pd Rh
4 4 2 10
Direct
0.175 0.325 0.000 Y
0.325 0.825 0.000 Y
0.675 0.175 0.000 Y
0.825 0.675 0.000 Y
0.125 0.625 0.000 Si
0.375 0.125 0.000 Si
0.625 0.875 0.000 Si
0.875 0.375 0.000 Si
0.000 0.000 0.000 Pd
0.500 0.500 0.000 Pd
0.000 0.500 0.500 Rh
0.068 0.785 0.500 Rh
0.215 0.068 0.500 Rh
0.285 0.568 0.500 Rh
0.432 0.285 0.500 Rh
0.500 0.000 0.500 Rh
0.568 0.715 0.500 Rh
0.715 0.432 0.500 Rh
0.785 0.932 0.500 Rh
0.932 0.215 0.500 Rh
```

Summary:
The density of states at the Fermi level comes out at 0.660 states/eV per atom. The raw formation energy comes out at -0.827 eV/atom. As for the magnetization: 0.00 μB per cell. As for the space group: P4/mbm, No. 127.

---

Below is crystalline ZrSiPd2Rh at its relaxed geometry, with properties calculated at the PBE level.

Geometry as POSCAR:
```
ZrSiPd2Rh
1.0
4.485 0.000 0.000
0.000 4.485 0.000
0.000 0.000 4.470
Zr Si Pd Rh
1 1 2 1
Direct
0.000 0.000 0.000 Zr
0.500 0.500 0.500 Si
0.000 0.500 0.500 Pd
0.500 0.000 0.500 Pd
0.500 0.500 0.000 Rh
```

Summary:
The density of states at the Fermi level comes out at 1.171 states/eV per atom. The raw formation energy comes out at -0.213 eV/atom. As for the magnetization: 0.00 μB per cell. As for the space group: P4/mmm, No. 123.

---

Below is crystalline Sm8Pd2Rh at its relaxed geometry, with properties calculated at the PBE level.

Geometry as POSCAR:
```
Sm8Pd2Rh
1.0
8.819 -2.578 0.000
8.819 2.578 0.000
-1.524 0.000 6.697
Sm Pd Rh
8 2 1
Direct
0.032 0.032 0.285 Sm
0.202 0.202 0.827 Sm
0.336 0.336 0.527 Sm
0.412 0.412 0.058 Sm
0.588 0.588 0.942 Sm
0.664 0.664 0.473 Sm
0.798 0.798 0.173 Sm
0.968 0.968 0.715 Sm
0.193 0.193 0.237 Pd
0.807 0.807 0.763 Pd
0.500 0.500 0.500 Rh
```

Summary:
The density of states at the Fermi level comes out at 1.121 states/eV per atom. The formation enthalpy at 0 K is -0.420 eV per atom. The value obtained for the energy above the most stable polymorph in this dataset is 0.0000 eV/atom. As for the magnetization: 0.00 μB per cell. As for the space group: C2/m, No. 12.

---

Below is crystalline Sm5PdRh2 at its relaxed geometry, with properties calculated at the PBE level.

Geometry as POSCAR:
```
Sm5PdRh2
1.0
-3.859 3.859 6.851
3.859 -3.859 6.851
3.859 3.859 -6.851
Sm Pd Rh
10 2 4
Direct
0.000 0.000 0.000 Sm
0.026 0.526 0.830 Sm
0.195 0.026 0.500 Sm
0.305 0.805 0.830 Sm
0.474 0.305 0.500 Sm
0.500 0.500 0.000 Sm
0.526 0.695 0.500 Sm
0.695 0.195 0.170 Sm
0.805 0.974 0.500 Sm
0.974 0.474 0.170 Sm
0.250 0.250 0.000 Pd
0.750 0.750 0.000 Pd
0.135 0.365 0.500 Rh
0.365 0.865 0.229 Rh
0.635 0.135 0.771 Rh
0.865 0.635 0.500 Rh
```

Summary:
The density of states at the Fermi level comes out at 1.045 states/eV per atom. The formation enthalpy at 0 K is -0.623 eV per atom. As for the magnetization: 0.00 μB per cell. As for the space group: I4/mcm, No. 140.

---

Below is crystalline Sm11Pd9Rh4 at its relaxed geometry, with properties calculated at the PBE level.

Geometry as POSCAR:
```
Sm11Pd9Rh4
1.0
6.985 -10.351 0.000
6.985 10.351 0.000
0.000 0.000 3.673
Sm Pd Rh
11 9 4
Direct
0.000 0.000 0.000 Sm
0.074 0.414 0.000 Sm
0.178 0.822 0.000 Sm
0.272 0.272 0.000 Sm
0.373 0.627 0.000 Sm
0.414 0.074 0.000 Sm
0.586 0.926 0.000 Sm
0.627 0.373 0.000 Sm
0.728 0.728 0.000 Sm
0.822 0.178 0.000 Sm
0.926 0.586 0.000 Sm
0.037 0.204 0.500 Pd
0.153 0.624 0.500 Pd
0.204 0.037 0.500 Pd
0.376 0.847 0.500 Pd
0.500 0.500 0.500 Pd
0.624 0.153 0.500 Pd
0.796 0.963 0.500 Pd
0.847 0.376 0.500 Pd
0.963 0.796 0.500 Pd
0.255 0.439 0.500 Rh
0.439 0.255 0.500 Rh
0.561 0.745 0.500 Rh
0.745 0.561 0.500 Rh
```

Summary:
The density of states at the Fermi level comes out at 0.490 states/eV per atom. The formation enthalpy at 0 K is -0.748 eV per atom. As for the magnetization: 0.00 μB per cell. As for the space group: Cmmm, No. 65.

---

Below is crystalline Sm8PdRh5 at its relaxed geometry, with properties calculated at the PBE level.

Geometry as POSCAR:
```
Sm8PdRh5
1.0
-4.404 4.404 4.381
4.404 -4.404 4.381
4.404 4.404 -4.381
Sm Pd Rh
8 1 5
Direct
0.002 0.879 0.248 Sm
0.121 0.369 0.123 Sm
0.124 0.373 0.632 Sm
0.246 0.998 0.877 Sm
0.508 0.876 0.249 Sm
0.627 0.259 0.751 Sm
0.631 0.754 0.752 Sm
0.741 0.492 0.368 Sm
0.250 0.750 0.500 Pd
0.003 0.627 0.879 Rh
0.373 0.252 0.376 Rh
0.500 0.500 0.000 Rh
0.748 0.124 0.121 Rh
0.876 0.997 0.624 Rh
```

Summary:
The density of states at the Fermi level comes out at 0.673 states/eV per atom. The formation enthalpy at 0 K is -0.690 eV per atom. As for the magnetization: 0.00 μB per cell. As for the space group: I-4, No. 82.

---

Below is crystalline Sm2PdRh at its relaxed geometry, with properties calculated at the PBE level.

Geometry as POSCAR:
```
Sm2PdRh
1.0
3.536 0.000 0.000
0.000 3.536 0.000
0.000 0.000 7.108
Sm Pd Rh
2 1 1
Direct
0.000 0.000 0.241 Sm
0.000 0.000 0.759 Sm
0.500 0.500 0.500 Pd
0.500 0.500 0.000 Rh
```

Summary:
The density of states at the Fermi level comes out at 0.587 states/eV per atom. The formation enthalpy at 0 K is -0.776 eV per atom. As for the magnetization: 0.00 μB per cell. As for the space group: P4/mmm, No. 123.

---

Below is crystalline Sm6PdRh3 at its relaxed geometry, with properties calculated at the PBE level.

Geometry as POSCAR:
```
Sm6PdRh3
1.0
5.314 -7.354 0.000
5.314 7.354 0.000
0.000 0.000 6.762
Sm Pd Rh
12 2 6
Direct
0.030 0.970 0.500 Sm
0.117 0.535 0.924 Sm
0.252 0.748 0.380 Sm
0.277 0.349 0.376 Sm
0.349 0.277 0.876 Sm
0.465 0.883 0.924 Sm
0.535 0.117 0.424 Sm
0.651 0.723 0.376 Sm
0.723 0.651 0.876 Sm
0.748 0.252 0.880 Sm
0.883 0.465 0.424 Sm
0.970 0.030 0.000 Sm
0.154 0.846 0.814 Pd
0.846 0.154 0.314 Pd
0.034 0.268 0.677 Rh
0.268 0.034 0.177 Rh
0.411 0.589 0.103 Rh
0.589 0.411 0.603 Rh
0.732 0.966 0.677 Rh
0.966 0.732 0.177 Rh
```

Summary:
The density of states at the Fermi level comes out at 0.735 states/eV per atom. The formation enthalpy at 0 K is -0.570 eV per atom. As for the magnetization: 0.00 μB per cell. As for the space group: Cmc2_1, No. 36.

---

Below is crystalline SmPd2Rh at its relaxed geometry, with properties calculated at the PBE level.

Geometry as POSCAR:
```
SmPd2Rh
1.0
0.000 3.318 3.318
3.318 0.000 3.318
3.318 3.318 0.000
Sm Pd Rh
1 2 1
Direct
0.000 0.000 0.000 Sm
0.250 0.250 0.250 Pd
0.750 0.750 0.750 Pd
0.500 0.500 0.500 Rh
```

Summary:
The density of states at the Fermi level comes out at 0.567 states/eV per atom. The formation enthalpy at 0 K is -0.460 eV per atom. As for the magnetization: 0.00 μB per cell. As for the space group: Fm-3m, No. 225.

---

Below is crystalline Sm6PdRh5 at its relaxed geometry, with properties calculated at the PBE level.

Geometry as POSCAR:
```
Sm6PdRh5
1.0
-2.482 3.514 7.445
2.482 -3.514 7.445
2.482 3.514 -7.445
Sm Pd Rh
6 1 5
Direct
0.080 0.332 0.748 Sm
0.246 0.000 0.246 Sm
0.417 0.668 0.748 Sm
0.583 0.332 0.252 Sm
0.754 0.000 0.754 Sm
0.920 0.668 0.252 Sm
0.500 0.500 0.000 Pd
0.000 0.500 0.500 Rh
0.166 0.166 0.000 Rh
0.334 0.834 0.500 Rh
0.666 0.166 0.500 Rh
0.834 0.834 0.000 Rh
```

Summary:
The density of states at the Fermi level comes out at 0.406 states/eV per atom. The formation enthalpy at 0 K is -0.743 eV per atom. As for the magnetization: 0.00 μB per cell. As for the space group: Immm, No. 71.

---

Below is crystalline Sm2PdRh at its relaxed geometry, with properties calculated at the PBE level.

Geometry as POSCAR:
```
Sm2PdRh
1.0
5.743 0.000 0.000
0.000 4.458 0.000
-2.571 0.000 7.195
Sm Pd Rh
4 2 2
Direct
0.220 0.250 0.435 Sm
0.228 0.250 0.927 Sm
0.772 0.750 0.073 Sm
0.780 0.750 0.565 Sm
0.326 0.750 0.206 Pd
0.674 0.250 0.794 Pd
0.324 0.750 0.708 Rh
0.676 0.250 0.292 Rh
```

Summary:
The density of states at the Fermi level comes out at 0.640 states/eV per atom. The formation enthalpy at 0 K is -0.805 eV per atom. As for the magnetization: 0.00 μB per cell. As for the space group: P2_1/m, No. 11.

---

Below is crystalline Sm3PdRh8 at its relaxed geometry, with properties calculated at the PBE level.

Geometry as POSCAR:
```
Sm3PdRh8
1.0
2.664 1.538 8.715
-2.664 1.538 8.715
0.000 -3.076 8.715
Sm Pd Rh
3 1 8
Direct
0.000 0.000 0.000 Sm
0.131 0.131 0.131 Sm
0.517 0.517 0.517 Sm
0.639 0.639 0.639 Pd
0.068 0.568 0.568 Rh
0.070 0.070 0.569 Rh
0.070 0.569 0.070 Rh
0.319 0.319 0.319 Rh
0.568 0.068 0.568 Rh
0.568 0.568 0.068 Rh
0.569 0.070 0.070 Rh
0.819 0.819 0.819 Rh
```

Summary:
The density of states at the Fermi level comes out at 1.275 states/eV per atom. The formation enthalpy at 0 K is -0.506 eV per atom. As for the magnetization: 0.00 μB per cell. As for the space group: R3m, No. 160.

---

Below is crystalline Sm5Pd2Rh at its relaxed geometry, with properties calculated at the PBE level.

Geometry as POSCAR:
```
Sm5Pd2Rh
1.0
-3.674 3.674 7.624
3.674 -3.674 7.624
3.674 3.674 -7.624
Sm Pd Rh
10 4 2
Direct
0.000 0.000 0.000 Sm
0.022 0.522 0.842 Sm
0.179 0.022 0.500 Sm
0.321 0.821 0.842 Sm
0.478 0.321 0.500 Sm
0.500 0.500 0.000 Sm
0.522 0.679 0.500 Sm
0.679 0.179 0.158 Sm
0.821 0.978 0.500 Sm
0.978 0.478 0.158 Sm
0.132 0.368 0.500 Pd
0.368 0.868 0.236 Pd
0.632 0.132 0.764 Pd
0.868 0.632 0.500 Pd
0.250 0.250 0.000 Rh
0.750 0.750 0.000 Rh
```

Summary:
The density of states at the Fermi level comes out at 1.089 states/eV per atom. The formation enthalpy at 0 K is -0.577 eV per atom. As for the magnetization: 0.00 μB per cell. As for the space group: I4/mcm, No. 140.

---

Below is crystalline Sm2Pd2Rh at its relaxed geometry, with properties calculated at the PBE level.

Geometry as POSCAR:
```
Sm2Pd2Rh
1.0
-3.096 6.196 3.026
3.096 -6.196 3.026
3.096 6.196 -3.026
Sm Pd Rh
4 4 2
Direct
0.140 0.223 0.363 Sm
0.360 0.723 0.084 Sm
0.640 0.277 0.916 Sm
0.860 0.777 0.637 Sm
0.129 0.760 0.888 Pd
0.371 0.260 0.631 Pd
0.629 0.740 0.369 Pd
0.871 0.240 0.112 Pd
0.250 0.750 0.500 Rh
0.750 0.250 0.500 Rh
```

Summary:
The density of states at the Fermi level comes out at 0.537 states/eV per atom. The formation enthalpy at 0 K is -0.616 eV per atom. The value obtained for the energy above the most stable polymorph in this dataset is 0.1067 eV/atom. As for the magnetization: 0.00 μB per cell. As for the space group: Ibam, No. 72.

---

Below is crystalline Sm8Pd2Rh at its relaxed geometry, with properties calculated at the PBE level.

Geometry as POSCAR:
```
Sm8Pd2Rh
1.0
4.221 -6.516 0.000
4.221 6.516 0.000
-2.254 0.000 5.811
Sm Pd Rh
8 2 1
Direct
0.000 0.000 0.000 Sm
0.016 0.272 0.577 Sm
0.156 0.562 0.181 Sm
0.272 0.016 0.577 Sm
0.447 0.702 0.803 Sm
0.562 0.156 0.181 Sm
0.702 0.447 0.803 Sm
0.716 0.716 0.356 Sm
0.046 0.666 0.679 Pd
0.666 0.046 0.679 Pd
0.352 0.352 0.003 Rh
```

Summary:
The density of states at the Fermi level comes out at 1.137 states/eV per atom. The formation enthalpy at 0 K is -0.332 eV per atom. The value obtained for the energy above the most stable polymorph in this dataset is 0.0876 eV/atom. As for the magnetization: 0.00 μB per cell. As for the space group: Cm, No. 8.

---

| no. | DFT total energy (Ha/atom) |
| --- | --- |
| 1 | -0.2723 |
| 2 | -0.2743 |
| 3 | -0.2625 |
| 4 | -0.2622 |
| 5 | -0.2889 |
| 6 | -0.2805 |
| 7 | -0.2719 |
| 8 | -0.2409 |
| 9 | -0.2008 |
| 10 | -0.2227 |
| 11 | -0.2236 |
| 12 | -0.2346 |
| 13 | -0.2305 |
| 14 | -0.2251 |
| 15 | -0.2232 |
| 16 | -0.2425 |
| 17 | -0.2315 |
| 18 | -0.2580 |
| 19 | -0.2111 |
| 20 | -0.2224 |
| 21 | -0.1976 |